# 1
LiPmPa2S4 after structural relaxation. Source: Alexandria via LeMat-Bulk, functional PBE-GGA.

Results
energy relative to the elements, uncorrected	-1.6302	eV per atom
crystal system	monoclinic
raw total energy	-6.901	eV per atom
N(E_F)	0.935	states/eV/atom

a b c (Å): 6.6515 3.8553 6.9533
angles (deg): 90.00 108.71 90.00
Last column: nearest neighbours and their distance in Å.
Space group P2/m (No. 10)
One atom of each set of equivalent atoms:
Li1 0.0000 0.0000 0.0000 (multiplicity 1)  6 S 2.69-2.72
Pm1 0.5000 0.5000 0.0000 (multiplicity 1)  6 S 2.79-2.80
Pa1 0.0000 0.5000 0.5000 (multiplicity 1)  6 S 2.73-2.74
Pa2 0.5000 0.0000 0.5000 (multiplicity 1)  6 S 2.82-2.84
S1 0.2375 0.5000 0.2442 (multiplicity 2)  2 Li 2.72, 3 Pa 2.73-2.82, 1 Pm 2.80
S2 0.2380 0.0000 0.7516 (multiplicity 2)  1 Li 2.69, 3 Pa 2.74-2.84, 2 Pm 2.79


# 2
LiPm2PaS5 after structural relaxation. Source: Alexandria via LeMat-Bulk, functional PBE-GGA.

Results
energy relative to the elements, uncorrected	-1.7556	eV per atom
crystal system	orthorhombic
raw total energy	-6.372	eV per atom
N(E_F)	0.568	states/eV/atom

a b c (Å): 3.9152 16.5190 12.0213
angles (deg): 90.00 90.00 90.00
Last column: nearest neighbours and their distance in Å.
Space group Cmc2_1 (No. 36)
One atom of each set of equivalent atoms:
Li1 0.0000 0.0143 0.0000 (multiplicity 4)  4 S 2.33-2.51
Pm1 0.0000 0.3732 0.8248 (multiplicity 4)  8 S 2.85-3.14
Pm2 0.0000 0.3907 0.2167 (multiplicity 4)  8 S 2.90-3.03
Pa1 0.0000 0.3006 0.5323 (multiplicity 4)  6 S 2.61-2.75
S1 0.0000 0.0020 0.3073 (multiplicity 4)  1 Li 2.33
S2 0.0000 0.1362 0.5284 (multiplicity 4)  1 Li 2.51, 1 Pa 2.72
S3 0.0000 0.1889 0.8727 (multiplicity 4)  2 Pa 2.75, 2 Pm 3.01
S4 0.0000 0.2114 0.1922 (multiplicity 4)  2 Pa 2.75, 3 Pm 2.89-2.98
S5 0.0000 0.4520 0.5936 (multiplicity 4)  2 Li 2.33